VASP calculation (PBE with a Hubbard U) on a relaxed CaMn2O3 crystal.

Unit cell a=3.2574 b=4.6648 c=9.7237 alpha=90.00 beta=90.00 gamma=90.00
Space group Immm (No. 71)
Unique sites:
Ca (0.0000, 0.0000, 0.0000) x2
Mn (0.0000, 0.0000, 0.3317) x4
O (0.0000, 0.5000, 0.0000) x2
O (0.0000, 0.5000, 0.3240) x4

Calculated values
For the total DFT energy (no corrections), the calculation gives -7.36 eV per atom.